Rb2ErScS4 after structural relaxation, computed with PBE-GGA.

Computed properties:
Spin magnetization (μB per cell): 0.0
Total energy (eV per atom): -5.442
V (Å³ per cell): 206.6

Structure (CIF):
```
data_Rb2ErScS4
_cell_length_a 3.953
_cell_length_b 3.953
_cell_length_c 15.269
_cell_angle_alpha 90.00
_cell_angle_beta 90.00
_cell_angle_gamma 120.00
_symmetry_space_group_name_H-M 'P 1'
_symmetry_Int_Tables_number 1
loop_
_symmetry_equiv_pos_as_xyz
'x,y,z'
loop_
_atom_site_label
_atom_site_type_symbol
_atom_site_fract_x
_atom_site_fract_y
_atom_site_fract_z
S1 S 0.333 0.667 0.411
S2 S 0.667 0.333 0.902
S3 S 0.667 0.333 0.589
S4 S 0.333 0.667 0.098
Sc1 Sc 0.000 0.000 0.500
Rb1 Rb 0.333 0.667 0.746
Rb2 Rb 0.667 0.333 0.254
Er1 Er 0.000 0.000 0.000
```

RbSrErS3 after structural relaxation, computed with PBE-GGA.

Computed properties:
Spin magnetization (μB per cell): 0.0
Total energy (eV per atom): -5.053
V (Å³ per cell): 376.0

Structure (CIF):
```
data_RbSrErS3
_cell_length_a 9.351
_cell_length_b 9.351
_cell_length_c 11.603
_cell_angle_alpha 118.28
_cell_angle_beta 118.28
_cell_angle_gamma 25.08
_symmetry_space_group_name_H-M 'P 1'
_symmetry_Int_Tables_number 1
loop_
_symmetry_equiv_pos_as_xyz
'x,y,z'
loop_
_atom_site_label
_atom_site_type_symbol
_atom_site_fract_x
_atom_site_fract_y
_atom_site_fract_z
S1 S 0.000 0.000 0.500
S2 S 0.711 0.711 0.735
S3 S 0.342 0.342 0.613
S4 S 0.658 0.658 0.387
S5 S 0.289 0.289 0.265
S6 S 0.500 0.500 0.000
Rb1 Rb 0.549 0.549 0.749
Rb2 Rb 0.451 0.451 0.251
Er1 Er 0.166 0.166 0.563
Er2 Er 0.834 0.834 0.437
Sr1 Sr 0.883 0.883 0.824
Sr2 Sr 0.117 0.117 0.176
```

Rb2YErS4 after structural relaxation, computed with PBE-GGA.

Computed properties:
Spin magnetization (μB per cell): 0.0
Total energy (eV per atom): -5.539
V (Å³ per cell): 218.0

Structure (CIF):
```
data_Rb2YErS4
_cell_length_a 4.050
_cell_length_b 4.050
_cell_length_c 15.349
_cell_angle_alpha 90.00
_cell_angle_beta 90.00
_cell_angle_gamma 120.00
_symmetry_space_group_name_H-M 'P 1'
_symmetry_Int_Tables_number 1
loop_
_symmetry_equiv_pos_as_xyz
'x,y,z'
loop_
_atom_site_label
_atom_site_type_symbol
_atom_site_fract_x
_atom_site_fract_y
_atom_site_fract_z
S1 S 0.333 0.667 0.405
S2 S 0.333 0.667 0.097
S3 S 0.667 0.333 0.595
S4 S 0.667 0.333 0.903
Er1 Er 0.000 0.000 0.500
Y1 Y 0.000 0.000 0.000
Rb1 Rb 0.333 0.667 0.750
Rb2 Rb 0.667 0.333 0.250
```

RbErZnS3 after structural relaxation, computed with PBE-GGA.

Computed properties:
Spin magnetization (μB per cell): 0.0
Total energy (eV per atom): -4.683
V (Å³ per cell): 321.8

Structure (CIF):
```
data_RbErZnS3
_cell_length_a 8.669
_cell_length_b 3.986
_cell_length_c 9.935
_cell_angle_alpha 90.00
_cell_angle_beta 110.38
_cell_angle_gamma 90.00
_symmetry_space_group_name_H-M 'P 1'
_symmetry_Int_Tables_number 1
loop_
_symmetry_equiv_pos_as_xyz
'x,y,z'
loop_
_atom_site_label
_atom_site_type_symbol
_atom_site_fract_x
_atom_site_fract_y
_atom_site_fract_z
S1 S 0.397 0.750 0.153
S2 S 0.968 0.750 0.148
S3 S 0.297 0.250 0.448
S4 S 0.703 0.750 0.552
S5 S 0.032 0.250 0.852
S6 S 0.603 0.250 0.847
Er1 Er 0.176 0.250 0.136
Er2 Er 0.824 0.750 0.864
Zn1 Zn 0.417 0.750 0.390
Zn2 Zn 0.583 0.250 0.610
Rb1 Rb 0.735 0.250 0.262
Rb2 Rb 0.265 0.750 0.738
```

RbErZnS3 after structural relaxation, computed with PBE-GGA.

Computed properties:
Spin magnetization (μB per cell): 0.0
Total energy (eV per atom): -4.512
V (Å³ per cell): 295.8

Structure (CIF):
```
data_RbErZnS3
_cell_length_a 8.922
_cell_length_b 8.922
_cell_length_c 8.585
_cell_angle_alpha 101.34
_cell_angle_beta 101.34
_cell_angle_gamma 26.23
_symmetry_space_group_name_H-M 'P 1'
_symmetry_Int_Tables_number 1
loop_
_symmetry_equiv_pos_as_xyz
'x,y,z'
loop_
_atom_site_label
_atom_site_type_symbol
_atom_site_fract_x
_atom_site_fract_y
_atom_site_fract_z
Rb1 Rb 0.148 0.148 0.067
Rb2 Rb 0.852 0.852 0.933
Er1 Er 0.167 0.167 0.567
Er2 Er 0.833 0.833 0.433
S1 S 0.674 0.674 0.365
S2 S 0.000 0.000 0.500
S3 S 0.342 0.342 0.228
S4 S 0.500 0.500 0.000
S5 S 0.658 0.658 0.772
S6 S 0.326 0.326 0.635
Zn1 Zn 0.478 0.478 0.263
Zn2 Zn 0.522 0.522 0.737
```

Rb2ErZrS4 after structural relaxation, computed with PBE-GGA.

Computed properties:
Spin magnetization (μB per cell): 0.0
Total energy (eV per atom): -5.581
V (Å³ per cell): 203.4

Structure (CIF):
```
data_Rb2ErZrS4
_cell_length_a 3.909
_cell_length_b 3.909
_cell_length_c 15.368
_cell_angle_alpha 90.00
_cell_angle_beta 90.00
_cell_angle_gamma 120.00
_symmetry_space_group_name_H-M 'P 1'
_symmetry_Int_Tables_number 1
loop_
_symmetry_equiv_pos_as_xyz
'x,y,z'
loop_
_atom_site_label
_atom_site_type_symbol
_atom_site_fract_x
_atom_site_fract_y
_atom_site_fract_z
S1 S 0.667 0.333 0.902
S2 S 0.667 0.333 0.594
S3 S 0.333 0.667 0.098
S4 S 0.333 0.667 0.406
Rb1 Rb 0.667 0.333 0.253
Rb2 Rb 0.333 0.667 0.747
Er1 Er 0.000 0.000 0.000
Zr1 Zr 0.000 0.000 0.500
```

RbErSb after structural relaxation, computed with PBE-GGA.

Computed properties:
Spin magnetization (μB per cell): 0.4
Total energy (eV per atom): -3.128
V (Å³ per cell): 108.0

Structure (CIF):
```
data_RbErSb
_cell_length_a 5.346
_cell_length_b 5.346
_cell_length_c 5.346
_cell_angle_alpha 60.00
_cell_angle_beta 60.00
_cell_angle_gamma 60.00
_symmetry_space_group_name_H-M 'P 1'
_symmetry_Int_Tables_number 1
loop_
_symmetry_equiv_pos_as_xyz
'x,y,z'
loop_
_atom_site_label
_atom_site_type_symbol
_atom_site_fract_x
_atom_site_fract_y
_atom_site_fract_z
Rb1 Rb 0.250 0.250 0.250
Sb1 Sb 0.750 0.750 0.750
Er1 Er 0.000 0.000 0.000
```

RbErSbTe3 after structural relaxation, computed with PBE-GGA.

Computed properties:
Spin magnetization (μB per cell): 0.1
Total energy (eV per atom): -3.877
V (Å³ per cell): 448.2

Structure (CIF):
```
data_RbErSbTe3
_cell_length_a 8.986
_cell_length_b 8.986
_cell_length_c 11.726
_cell_angle_alpha 90.00
_cell_angle_beta 90.00
_cell_angle_gamma 151.75
_symmetry_space_group_name_H-M 'P 1'
_symmetry_Int_Tables_number 1
loop_
_symmetry_equiv_pos_as_xyz
'x,y,z'
loop_
_atom_site_label
_atom_site_type_symbol
_atom_site_fract_x
_atom_site_fract_y
_atom_site_fract_z
Sb1 Sb 0.957 0.043 0.250
Sb2 Sb 0.043 0.957 0.750
Te1 Te 0.875 0.125 0.473
Te2 Te 0.875 0.125 0.027
Te3 Te 0.125 0.875 0.973
Te4 Te 0.586 0.414 0.250
Te5 Te 0.125 0.875 0.527
Te6 Te 0.414 0.586 0.750
Er1 Er 0.500 0.500 0.500
Er2 Er 0.500 0.500 0.000
Rb1 Rb 0.262 0.738 0.250
Rb2 Rb 0.738 0.262 0.750
```